No. 1
Computed, not measured: crystalline HfTe2IrPd at its relaxed geometry at the PBE-GGA level of DFT.

Values from the calculation:
Total magnetization = 0.776 μB per formula unit
Energy relative to the elements, uncorrected = 0.8275 eV/atom

Cell: 5.090 5.090 4.834 Å, 90.00 90.00 90.00°
Space group P4/mmm (No. 123)
Asymmetric unit:
Hf  0.000  0.000  0.000 (multiplicity 1)
Te  0.000  0.500  0.500 (multiplicity 2)
Ir  0.500  0.500  0.000 (multiplicity 1)
Pd  0.500  0.500  0.500 (multiplicity 1)


No. 2
Computed, not measured: crystalline AcY2F at its relaxed geometry at the PBE-GGA level of DFT.

Values from the calculation:
Total magnetization = 0.000 μB per formula unit
Energy relative to the elements, uncorrected = -0.9063 eV/atom

Cell: 3.7285 3.7285 29.2377 Å, 90.00 90.00 120.00°
Space group R-3m (No. 166, hexagonal axes)
Asymmetric unit:
Ac  0.0000  0.0000  0.0000 (multiplicity 3)
Y  0.0000  0.0000  0.1213 (multiplicity 6)
F  0.0000  0.0000  0.5000 (multiplicity 3)


No. 3
Computed, not measured: crystalline CdCo3Cu at its relaxed geometry at the PBE-GGA level of DFT.

Values from the calculation:
Total magnetization = 5.162 μB per formula unit
Formation energy = 1107 meV per atom
ΔE to the lowest computed polymorph = 0.000 eV per atom

Cell: 4.355 4.355 4.355 Å, 90.00 90.00 90.00°
Space group Pm-3m (No. 221)
Asymmetric unit:
Cd  0.000  0.000  0.000 (multiplicity 1)
Co  0.000  0.500  0.500 (multiplicity 3)
Cu  0.500  0.500  0.500 (multiplicity 1)


No. 4
Computed, not measured: crystalline Ga2AgAsRu at its relaxed geometry at the PBE-GGA level of DFT.

Values from the calculation:
Total magnetization = 1.787 μB per formula unit
Formation energy = 1081 meV per atom

Cell: 4.861 4.861 4.807 Å, 90.00 90.00 90.00°
Space group P4/mmm (No. 123)
Asymmetric unit:
Ga  0.000  0.500  0.000 (multiplicity 2)
Ag  0.000  0.000  0.500 (multiplicity 1)
As  0.000  0.000  0.000 (multiplicity 1)
Ru  0.500  0.500  0.500 (multiplicity 1)